P | Density functional theory data (SCAN) for a crystal of CaCrRu2 relaxed with PBEsol.

abc: 4.351 4.351 4.351
angles: 60.00 60.00 60.00
Sites, in units of the cell vectors:
Ca: 0.000 0.000 0.000
Cr: 0.500 0.500 0.500
Ru: 0.250 0.250 0.250
Ru: 0.750 0.750 0.750

Q | Density functional theory data (SCAN) for a crystal of CaCrRu2 relaxed with PBEsol.

abc: 9.307 9.307 9.307
angles: 16.97 16.97 16.97
Sites, in units of the cell vectors:
Ca: 0.000 0.000 0.000
Cr: 0.760 0.760 0.760
Ru: 0.242 0.242 0.242
Ru: 0.497 0.497 0.497

R | Density functional theory data (SCAN) for a crystal of CaCrRu2 relaxed with PBEsol.

abc: 4.996 4.996 4.946
angles: 105.87 105.87 34.28
Sites, in units of the cell vectors:
Ca: 0.000 0.000 0.000
Cr: 0.212 0.212 0.661
Ru: 0.505 0.505 0.498
Ru: 0.776 0.776 0.338

Structures ranked by computed energy, the most stable listed first: R, P, Q.

P | Density functional theory data (SCAN) for a crystal of CaScCr2 relaxed with PBEsol.

abc: 5.561 5.561 5.561
angles: 147.22 127.16 63.59
Sites, in units of the cell vectors:
Ca: 0.000 0.000 0.000
Sc: 0.706 0.206 0.500
Cr: 0.275 0.775 0.500
Cr: 0.426 0.426 0.000

Q | Density functional theory data (SCAN) for a crystal of CaScCr2 relaxed with PBEsol.

abc: 5.367 5.367 2.669
angles: 90.00 90.00 120.10
Sites, in units of the cell vectors:
Ca: 0.000 0.000 0.000
Sc: 0.500 0.500 0.000
Cr: 0.000 0.500 0.500
Cr: 0.500 0.000 0.500

R | Density functional theory data (SCAN) for a crystal of CaScCr2 relaxed with PBEsol.

abc: 9.543 9.543 9.543
angles: 19.14 19.14 19.14
Sites, in units of the cell vectors:
Ca: 0.000 0.000 0.000
Sc: 0.500 0.500 0.500
Cr: 0.243 0.243 0.243
Cr: 0.757 0.757 0.757

Structures ranked by computed energy, the most stable listed first: P, R, Q.

P | Density functional theory data (SCAN) for a crystal of CaCrSe2 relaxed with PBEsol.

abc: 6.691 6.691 6.691
angles: 34.38 34.38 34.38
Sites, in units of the cell vectors:
Ca: 0.000 0.000 0.000
Cr: 0.500 0.500 0.500
Se: 0.239 0.239 0.239
Se: 0.761 0.761 0.761

Q | Density functional theory data (SCAN) for a crystal of CaCrSe2 relaxed with PBEsol.

abc: 3.943 3.943 5.583
angles: 90.00 90.00 90.00
Sites, in units of the cell vectors:
Ca: 0.000 0.000 0.000
Cr: 0.500 0.500 0.500
Se: 0.000 0.000 0.500
Se: 0.500 0.500 0.000

Structures ranked by computed energy, the most stable listed first: Q, P.

P | Density functional theory data (SCAN) for a crystal of CaCr2Si relaxed with PBEsol.

abc: 3.793 3.793 4.139
angles: 90.00 90.00 90.00
Sites, in units of the cell vectors:
Ca: 0.000 0.000 0.000
Cr: 0.000 0.500 0.500
Cr: 0.500 0.000 0.500
Si: 0.500 0.500 0.000

Q | Density functional theory data (SCAN) for a crystal of CaCr2Si relaxed with PBEsol.

abc: 2.986 2.986 7.095
angles: 90.00 90.00 90.00
Sites, in units of the cell vectors:
Ca: 0.000 0.000 0.000
Cr: 0.000 0.000 0.499
Cr: 0.500 0.500 0.342
Si: 0.500 0.500 0.699

Structures ranked by computed energy, the most stable listed first: Q, P.